Entry w
A geometry-optimized Dy2Ho5 structure, computed with PBE-GGA.

The space group is P-1, No. 2.

```
7
Lattice="-0.8754 2.8950 1.7909 -12.3963 -4.4234 7.9009 5.1693 2.2842 2.3085" Properties=species:S:1:pos:R:3 pbc="T T T"
Dy 1.0466 3.8927 4.5706
Dy -9.1489 -3.1369 7.4298
Ho -5.4493 1.3244 5.5069
Ho -2.6530 -0.5686 6.4934
Ho 0.0000 0.0000 0.0000
Ho -5.9005 -1.8524 6.9586
Ho -2.2018 2.6082 5.0418
```


Entry x
A geometry-optimized Dy2Ho5 structure, computed with PBE-GGA.

The space group is C2/c, No. 15.

```
14
Lattice="-5.8424 2.1629 -0.1234 -2.6728 -6.9167 5.3097 4.6099 3.8110 5.8601" Properties=species:S:1:pos:R:3 pbc="T T T"
Dy 1.3728 1.1141 7.0750
Dy -1.9903 0.6791 1.3578
Dy -5.2780 -2.0569 3.9715
Dy -1.9149 -1.6219 9.6886
Ho -1.7294 -1.4514 4.1046
Ho 3.0594 2.5236 4.3693
Ho 0.1246 -2.2577 6.9368
Ho -3.4199 -2.8640 6.8056
Ho -4.0298 1.3149 4.1096
Ho -0.4853 1.9212 4.2408
Ho -6.9646 -3.4664 6.6772
Ho -2.1758 0.5086 6.9418
Ho -5.5370 0.0733 1.2246
Ho -2.9781 -4.8271 3.9617
```


Of them, the most stable is entry x and the least stable is entry w.


Entry w
A geometry-optimized DyHo2I structure, computed with PBE-GGA.

The space group is P4/mmm, No. 123.

```
4
Lattice="3.6265 0.0000 0.0000 0.0000 3.6265 0.0000 0.0000 0.0000 9.4452" Properties=species:S:1:pos:R:3 pbc="T T T"
I 1.8133 1.8133 0.0000
Ho 0.0000 0.0000 7.1247
Ho 0.0000 0.0000 2.3205
Dy 1.8133 1.8133 4.7226
```


Entry x
A geometry-optimized DyHo2I structure, computed with PBE-GGA.

The space group is R-3m, No. 166.

```
4
Lattice="-1.1699 -2.9230 1.9818 -1.9358 -2.7132 -1.6527 7.8352 -6.8926 -2.0490" Properties=species:S:1:pos:R:3 pbc="T T T"
I 0.0000 0.0000 0.0000
Ho 3.6592 -9.4599 -1.3172
Ho 1.0704 -3.0689 -0.4027
Dy 2.3648 -6.2644 -0.8600
```


Of them, the most stable is entry x and the least stable is entry w.


Entry w
A geometry-optimized Dy2HoIn2 structure, computed with PBE-GGA.

The space group is Cmc2_1, No. 36.

```
10
Lattice="5.3668 0.0000 0.0000 0.0000 6.4898 0.0000 -2.6834 0.0000 7.9904" Properties=species:S:1:pos:R:3 pbc="T T T"
Dy 2.6834 5.0801 7.5672
Dy 2.6834 2.2479 4.8344
Dy 0.0000 5.4929 3.1560
Dy 0.0000 1.8352 0.4232
Ho 0.0000 0.5224 6.4292
Ho 2.6834 3.7673 1.5612
In 0.0000 3.6752 6.3675
In 2.6834 5.5709 4.5638
In 0.0000 2.3260 3.4265
In 2.6834 0.4303 1.6229
```


Entry x
A geometry-optimized Dy2HoIn2 structure, computed with PBE-GGA.

The space group is P2_1/m, No. 11.

```
10
Lattice="3.6998 0.0000 -0.4962 0.0000 5.3304 0.0000 -0.0120 0.0000 13.9821" Properties=species:S:1:pos:R:3 pbc="T T T"
Dy 0.1745 3.9978 1.3054
Dy 3.5134 1.3326 12.1805
Dy 0.8712 3.9978 6.5102
Dy 2.8166 1.3326 6.9757
Ho 3.1406 3.9978 9.3751
Ho 0.5472 1.3326 4.1108
In 2.3736 3.9978 3.6842
In 1.3142 1.3326 9.8017
In 1.6509 3.9978 12.3402
In 2.0369 1.3326 1.1457
```


Of them, the most stable is entry x and the least stable is entry w.


Entry w
A geometry-optimized Dy2Ho3In structure, computed with PBE-GGA.

The space group is Cmmm, No. 65.

```
6
Lattice="4.8523 0.0000 0.0000 0.0000 4.5912 -1.5524 0.0000 0.1074 7.8831" Properties=species:S:1:pos:R:3 pbc="T T T"
Dy 0.0000 3.0739 1.5258
Dy 0.0000 1.6247 4.8050
Ho 2.4262 0.8067 2.3859
Ho 2.4262 2.2956 -0.7762
Ho 2.4262 3.8918 3.9448
In 0.0000 0.0000 0.0000
```


Entry x
A geometry-optimized Dy2Ho3In structure, computed with PBE-GGA.

The space group is Imm2, No. 44.

```
6
Lattice="6.3978 0.0000 0.0000 0.0000 5.7137 0.0000 -3.1989 -2.8569 5.0559" Properties=species:S:1:pos:R:3 pbc="T T T"
Dy 3.1989 0.7087 3.2042
Dy 0.0000 3.5655 1.8516
Ho 0.0000 0.7106 0.0000
Ho 0.0000 0.7059 3.4816
Ho 3.1989 3.5628 1.5743
In 3.1989 0.7052 0.0000
```


Of them, the most stable is entry w and the least stable is entry x.


Entry w
A geometry-optimized Dy3Ho4In structure, computed with PBE-GGA.

The space group is Pm, No. 6.

```
16
Lattice="-7.1975 -8.0980 2.6979 7.1040 2.5287 3.4316 -3.5473 4.4956 4.0307" Properties=species:S:1:pos:R:3 pbc="T T T"
In -4.3734 -5.8120 2.6336
In 1.5690 1.4462 5.8512
Ho 3.4053 -0.8364 3.9299
Ho -0.6965 -1.7405 1.3283
Ho 0.7626 1.1483 2.4517
Ho 0.0930 -1.3581 4.7363
Ho -2.0901 -2.6238 7.1704
Ho -6.2048 -3.5301 4.5601
Ho -1.6235 0.8173 6.6867
Ho -0.9996 3.3816 4.4540
Dy -0.1419 -4.7795 5.2060
Dy 3.6392 2.5831 3.3443
Dy -2.8837 -3.0060 3.7536
Dy -2.6466 0.4170 3.2891
Dy -4.7174 -0.6821 5.8372
Dy 1.8545 4.8450 5.3722
```


Entry x
A geometry-optimized Dy3Ho4In structure, computed with PBE-GGA.

The space group is Pmn2_1, No. 31.

```
16
Lattice="-0.2728 -3.7874 -4.8191 -5.0858 -3.6306 3.1413 -7.6367 6.5902 -4.7472" Properties=species:S:1:pos:R:3 pbc="T T T"
Dy -3.3710 -4.6859 -1.0824
Dy -5.2469 -4.3230 -3.8958
Dy -4.0510 -1.4795 -2.2927
Dy -5.7429 1.4381 -1.8556
Dy -7.7467 1.7098 -4.5900
Dy -9.1879 -0.9220 -6.3456
Ho -4.4882 -3.7995 1.9454
Ho -0.8389 -2.8959 -2.6707
Ho -2.7363 -2.6358 -5.5159
Ho -6.5722 -3.3141 -0.8601
Ho -8.2777 -0.3889 -0.3143
Ho -4.6427 0.3147 -5.1850
Ho -10.2233 -0.1633 -3.1297
Ho -6.7219 0.8037 -7.9934
In -1.9457 -1.9273 0.4544
In -7.1766 -1.4369 -3.5405
```


Of them, the most stable is entry w and the least stable is entry x.


Entry w
A geometry-optimized DyHo6In2 structure, computed with PBE-GGA.

The space group is I-42m, No. 121.

```
9
Lattice="6.2452 0.0000 0.0000 0.0000 6.2452 0.0000 -3.1226 -3.1226 7.5546" Properties=species:S:1:pos:R:3 pbc="T T T"
Dy 3.1226 3.1226 0.0000
Ho 5.1348 1.1104 1.3116
Ho 2.0122 2.0122 6.2429
Ho 1.1104 5.1348 1.3116
Ho -2.0122 -2.0122 6.2429
Ho 3.1226 0.0000 3.7773
Ho 0.0000 3.1226 3.7773
In 0.0000 0.0000 4.3321
In 3.1226 3.1226 3.2225
```


Entry x
A geometry-optimized DyHo6In2 structure, computed with PBE-GGA.

The space group is C2/m, No. 12.

```
9
Lattice="3.6722 0.0000 0.5830 1.6062 6.1569 1.7395 0.0186 -0.0294 11.7393" Properties=species:S:1:pos:R:3 pbc="T T T"
Dy 0.0000 0.0000 0.0000
Ho 3.3303 3.1296 2.7363
Ho 1.9666 2.9979 11.3255
Ho 2.4269 4.8773 8.4262
Ho 4.7266 4.2210 5.7976
Ho 0.5703 1.9065 8.2642
Ho 2.8700 1.2502 5.6356
In 1.4419 0.4869 2.7744
In 3.8550 5.6406 11.2874
```


Of them, the most stable is entry x and the least stable is entry w.


Entry w
A geometry-optimized Dy3Ho2In2 structure, computed with PBE-GGA.

The space group is Cmmm, No. 65.

```
7
Lattice="4.8804 0.0000 0.6477 0.0000 3.4374 0.0000 0.8942 0.0000 11.9731" Properties=species:S:1:pos:R:3 pbc="T T T"
Dy 4.4374 0.0000 3.9860
Dy 0.0000 0.0000 0.0000
Dy 1.3372 0.0000 8.6348
Ho 3.9966 1.7187 7.3075
Ho 1.7780 1.7187 5.3133
In 3.5552 1.7187 10.6334
In 2.2194 1.7187 1.9874
```


Entry x
A geometry-optimized Dy3Ho2In2 structure, computed with PBE-GGA.

The space group is C2/m, No. 12.

```
7
Lattice="-1.1302 0.7940 4.9987 -5.0173 -0.0742 -3.8128 -0.6828 -6.7323 0.9149" Properties=species:S:1:pos:R:3 pbc="T T T"
Dy -3.8455 -5.4330 -0.0065
Dy 0.0000 0.0000 0.0000
Dy -2.9848 -0.5795 2.1074
Ho -2.1355 -4.1300 2.8633
Ho -4.6948 -1.8824 -0.7625
In -1.6434 -2.7376 0.0633
In -5.1869 -3.2749 2.0376
```


Of them, the most stable is entry x and the least stable is entry w.


Entry w
A geometry-optimized DyHo6In structure, computed with PBE-GGA.

The space group is P4/mmm, No. 123.

```
8
Lattice="-4.1627 -0.6594 -2.4618 2.3049 -2.9858 -3.0977 -2.2173 -7.7571 5.8270" Properties=species:S:1:pos:R:3 pbc="T T T"
Dy 0.0000 0.0000 0.0000
Ho -0.9289 -1.8226 -2.7797
Ho -2.0375 -5.7012 0.1338
Ho -2.6477 -2.3110 0.2574
Ho -3.7323 -6.1055 3.1078
Ho 0.5861 -3.4742 -0.0605
Ho -0.4985 -7.2687 2.7898
In -1.1086 -3.8786 2.9135
```


Entry x
A geometry-optimized DyHo6In structure, computed with PBE-GGA.

The space group is C2/m, No. 12.

```
8
Lattice="6.3640 -0.6707 -1.3307 -2.9902 5.6577 -1.3307 -1.9002 -2.8088 8.6052" Properties=species:S:1:pos:R:3 pbc="T T T"
Dy 0.7368 1.0891 2.9719
Ho -0.8169 -1.2075 5.9869
Ho 3.1389 0.2848 0.8814
Ho 2.2905 3.3857 -0.0430
Ho 2.3771 -0.8413 5.0625
Ho -1.6653 1.8935 5.0625
Ho -0.9035 3.0196 0.8814
In 0.0000 0.0000 0.0000
```


Of them, the most stable is entry w and the least stable is entry x.


Entry w
A geometry-optimized Dy3HoIn structure, computed with PBE-GGA.

The space group is Cmcm, No. 63.

```
10
Lattice="-1.1073 2.5689 -3.9130 2.7424 -2.9019 -2.6811 -10.4249 -6.1287 -4.0298" Properties=species:S:1:pos:R:3 pbc="T T T"
Dy -1.2605 0.6156 -4.1124
Dy -9.1153 -5.2832 -5.7621
Dy -5.1663 -2.3176 -4.9327
Dy 0.7148 -2.0819 -3.4858
Dy -8.2473 -5.4118 -9.0486
Dy -3.2341 -5.0474 -4.3152
Ho -5.7694 -5.2511 -6.6880
Ho -2.6311 -2.1139 -2.5600
In -1.8679 -2.3212 -5.8685
In -7.6399 -2.4749 -7.2925
```


Entry x
A geometry-optimized Dy3HoIn structure, computed with PBE-GGA.

The space group is Cmcm, No. 63.

```
10
Lattice="5.8689 0.0000 0.0000 0.0000 8.7634 0.0000 -2.9344 0.0000 6.1478" Properties=species:S:1:pos:R:3 pbc="T T T"
Dy 0.0000 8.1632 2.1600
Dy 2.9344 0.6002 3.9878
Dy 2.9344 3.7815 3.9878
Dy 0.0000 4.9819 2.1600
Dy 0.0000 2.1908 0.7650
Dy 2.9344 6.5725 5.3828
Ho 2.9344 2.1908 0.8777
Ho 0.0000 6.5725 5.2701
In 0.0000 2.1908 3.9353
In 2.9344 6.5725 2.2126
```


Of them, the most stable is entry w and the least stable is entry x.


Entry w
A geometry-optimized Dy6HoIn3 structure, computed with PBE-GGA.

The space group is P2_1/m, No. 11.

```
20
Lattice="5.0888 0.0000 0.0000 0.0000 10.0411 -2.1018 0.0000 0.9200 11.0695" Properties=species:S:1:pos:R:3 pbc="T T T"
Dy 1.2722 4.6349 0.1231
Dy 3.8166 6.3261 8.8446
Dy 1.2722 1.6594 2.1070
Dy 3.8166 9.3017 6.8607
Dy 1.2722 7.0173 6.2770
Dy 3.8166 3.9438 2.6907
Dy 1.2722 3.2088 5.1409
Dy 3.8166 7.7523 3.8268
Dy 1.2722 8.5427 1.3695
Dy 3.8166 2.4184 7.5982
Dy 1.2722 1.5088 9.9200
Dy 3.8166 9.4523 -0.9523
Ho 1.2722 10.1043 4.5845
Ho 3.8166 0.8568 4.3832
In 1.2722 5.8361 3.1699
In 3.8166 5.1250 5.7978
In 1.2722 4.3454 8.1914
In 3.8166 6.6156 0.7763
In 1.2722 8.4662 9.1797
In 3.8166 2.4949 -0.2120
```


Entry x
A geometry-optimized Dy6HoIn3 structure, computed with PBE-GGA.

The space group is Cmc2_1, No. 36.

```
20
Lattice="-4.8876 5.3982 2.3298 -7.1318 -5.2370 -2.8273 2.2253 -1.7992 8.8370" Properties=species:S:1:pos:R:3 pbc="T T T"
Dy -4.4280 -4.7300 4.2765
Dy -6.2509 -1.8028 6.2154
Dy -3.2890 -2.9542 7.2806
Dy -9.2297 -1.5399 4.0863
Dy -8.1347 -3.5012 -1.6139
Dy -3.7194 0.5910 6.7820
Dy -4.9589 -3.4614 1.0256
Dy -2.0749 2.3221 10.1515
Dy -0.9785 0.3592 4.4505
Dy -6.9191 1.7735 1.2563
Dy -2.1148 -1.4128 1.4432
Dy -3.9377 1.5144 3.3821
Ho -0.0810 -2.0701 6.6369
Ho -8.0526 -1.4019 0.9110
In -7.5653 -4.1505 4.5650
In -7.4806 -0.5225 8.8819
In -3.5411 -1.6012 4.3610
In -6.9570 0.7407 4.3140
In -4.0000 4.4688 4.6188
In -4.0848 0.8407 0.3019
```


Of them, the most stable is entry w and the least stable is entry x.


Entry w
A geometry-optimized Dy4Ho7In structure, computed with PBE-GGA.

The space group is C2/m, No. 12.

```
12
Lattice="6.0491 -1.5150 1.0907 0.8916 5.0300 2.0388 -0.2424 -1.5319 11.3104" Properties=species:S:1:pos:R:3 pbc="T T T"
Dy 4.2262 0.5879 4.1217
Dy 2.4721 1.3951 10.3182
Dy 5.8894 1.3187 9.0096
Dy 0.8089 0.6644 5.4303
Ho 5.1723 0.1381 12.2420
Ho 1.5260 1.8450 2.1979
Ho -0.0265 -0.4377 8.5158
Ho 6.7249 2.4208 5.9241
Ho 3.2185 2.6741 6.8373
Ho 3.0246 -0.7575 0.5453
Ho 3.4798 -0.6911 7.6026
In 0.0000 0.0000 0.0000
```


Entry x
A geometry-optimized Dy4Ho7In structure, computed with PBE-GGA.

The space group is C2/m, No. 12.

```
12
Lattice="5.8259 0.0000 0.0000 2.9130 11.1458 0.0047 2.9130 0.4594 6.0091" Properties=species:S:1:pos:R:3 pbc="T T T"
Dy 5.8259 2.8003 3.0556
Dy 5.8259 8.8048 2.9582
Dy 8.7389 7.2396 4.0505
Dy 2.9130 4.3655 1.9633
Ho 8.7389 10.4716 2.9029
Ho 2.9130 1.1335 3.1109
Ho 2.9130 8.0785 0.5127
Ho 8.7389 3.5267 5.5011
Ho 5.8259 5.6581 4.7309
Ho 2.9130 0.0000 0.0000
Ho 5.8259 5.9471 1.2829
In 0.0000 0.0000 0.0000
```


Of them, the most stable is entry w and the least stable is entry x.